The following is a DFT calculation (PBE) of LiPmPaSi after structural relaxation.

Results
Uncorrected energy ... -5.38 eV per atom

Unit cell a=5.020 b=5.020 c=5.020 alpha=60.00 beta=60.00 gamma=60.00
Atoms (fractional coordinates):
Pm1 0.500 0.500 0.500
Si1 0.750 0.750 0.750
Li1 0.250 0.250 0.250
Pa1 0.000 0.000 0.000